[1]
Below is CdSbW2 at its PBEsol-relaxed geometry, with properties calculated at the SCAN level.

Cell and atoms, written as POSCAR:
```
CdSbW2
1.0
4.915 -1.616 0.000
4.915 1.616 0.000
-1.596 0.000 4.665
Cd Sb W
1 1 2
direct
0.000 0.000 0.000
0.778 0.778 0.324
0.240 0.240 0.796
0.542 0.542 0.538
```

Values from the calculation:
raw formation energy	16.97	kcal/mol of atoms
electronic total energy	-204.11	eV for the cell shown
Fermi-level density of states	2.396	states/eV/f.u.
V	18.529	Å³ per atom
energy above the most stable polymorph in this dataset	0	meV/atom
mass density	13.48	g/cm3
space group	Cm (8)

***

[2]
Below is CdSbW2 at its PBEsol-relaxed geometry, with properties calculated at the SCAN level.

Cell and atoms, written as POSCAR:
```
CdSbW2
1.0
-1.651 2.364 4.587
1.651 -2.364 4.587
1.651 2.364 -4.587
Cd Sb W
1 1 2
direct
0.000 0.000 0.000
0.500 0.500 0.000
0.260 0.760 0.500
0.740 0.240 0.500
```

Values from the calculation:
raw formation energy	20.67	kcal/mol of atoms
electronic total energy	-203.47	eV for the cell shown
Fermi-level density of states	2.739	states/eV/f.u.
V	17.897	Å³ per atom
energy above the most stable polymorph in this dataset	161	meV/atom
mass density	13.96	g/cm3
space group	Immm (71)

***

[3]
Below is CdSbW2 at its PBEsol-relaxed geometry, with properties calculated at the SCAN level.

Cell and atoms, written as POSCAR:
```
CdSbW2
1.0
0.000 3.301 3.301
3.301 0.000 3.301
3.301 3.301 0.000
Cd Sb W
1 1 2
direct
0.000 0.000 0.000
0.250 0.250 0.250
0.500 0.500 0.500
0.750 0.750 0.750
```

Values from the calculation:
raw formation energy	21.76	kcal/mol of atoms
electronic total energy	-203.28	eV for the cell shown
Fermi-level density of states	2.557	states/eV/f.u.
V	17.980	Å³ per atom
energy above the most stable polymorph in this dataset	208	meV/atom
mass density	13.90	g/cm3
space group	F-43m (216)

***

[4]
Below is Cd2SbW at its PBEsol-relaxed geometry, with properties calculated at the SCAN level.

Cell and atoms, written as POSCAR:
```
Cd2SbW
1.0
-1.457 2.245 6.706
1.457 -2.245 6.706
1.457 2.245 -6.706
Cd Sb W
2 1 1
direct
0.193 0.193 0.000
0.807 0.807 0.000
0.500 0.000 0.500
0.000 0.500 0.500
```

Values from the calculation:
raw formation energy	11.89	kcal/mol of atoms
electronic total energy	-165.72	eV for the cell shown
Fermi-level density of states	1.682	states/eV/f.u.
V	21.935	Å³ per atom
mass density	10.04	g/cm3
space group	Immm (71)

***

[5]
Below is Cd4SbW at its PBEsol-relaxed geometry, with properties calculated at the SCAN level.

Cell and atoms, written as POSCAR:
```
Cd4SbW
1.0
0.000 3.915 3.915
3.915 0.000 3.915
3.915 3.915 0.000
Cd Sb W
4 1 1
direct
0.124 0.124 0.124
0.124 0.124 0.628
0.124 0.628 0.124
0.628 0.124 0.124
0.500 0.500 0.500
0.750 0.750 0.750
```

Values from the calculation:
raw formation energy	18.48	kcal/mol of atoms
electronic total energy	-223.80	eV for the cell shown
Fermi-level density of states	4.484	states/eV/f.u.
V	19.998	Å³ per atom
mass density	10.45	g/cm3
space group	F-43m (216)

***

[6]
Below is Y3CdSb at its PBEsol-relaxed geometry, with properties calculated at the SCAN level.

Cell and atoms, written as POSCAR:
```
Y3CdSb
1.0
5.591 0.000 0.000
0.000 5.591 0.000
0.000 0.000 5.591
Y Cd Sb
3 1 1
direct
0.000 0.000 0.500
0.000 0.500 0.000
0.500 0.000 0.000
0.500 0.500 0.500
0.000 0.000 0.000
```

Values from the calculation:
raw formation energy	-2.04	kcal/mol of atoms
electronic total energy	-151.65	eV for the cell shown
Fermi-level density of states	7.907	states/eV/f.u.
V	34.957	Å³ per atom
mass density	4.76	g/cm3
space group	Pm-3m (221)